# 1
Computed, not measured: a relaxed HfAsH2 crystal at the GGA-PBE level of DFT.

Results
E above lowest polymorph, meV per atom: 52
Total magnetization, μB/atom: 0.000
E, eV/atom: -5.71

Cell and atoms, written as CIF:
```
data_HfAsH2
_symmetry_space_group_name_H-M 'P 1 21/m 1'
_symmetry_Int_Tables_number 11
_symmetry_space_group_name_Hall '-P 2yb'
_cell_length_a 3.5338
_cell_length_b 3.5418
_cell_length_c 7.3843
_cell_angle_alpha 90.00
_cell_angle_beta 90.33
_cell_angle_gamma 90.00
loop_
_atom_site_label
_atom_site_type_symbol
_atom_site_fract_x
_atom_site_fract_y
_atom_site_fract_z
Hf1 Hf 0.2481 0.2500 0.1689
As1 As 0.2504 0.2500 0.6889
H1 H 0.2498 0.7500 0.9995
H2 H 0.2509 0.2500 0.4585
```


# 2
Computed, not measured: a relaxed Hf2AsH2 crystal at the GGA-PBE level of DFT.

Results
E above lowest polymorph, meV per atom: 43
Total magnetization, μB/atom: 0.000
E, eV/atom: -6.77

Cell and atoms, written as CIF:
```
data_Hf2AsH2
_symmetry_space_group_name_H-M 'F d d d'
_symmetry_Int_Tables_number 70
_cell_length_a 7.1729
_cell_length_b 8.0866
_cell_length_c 9.1095
_cell_angle_alpha 90.00
_cell_angle_beta 90.00
_cell_angle_gamma 90.00
loop_
_symmetry_equiv_pos_as_xyz
'x,y,z'
'-x,-y,-z'
'-x+1/4,-y+1/4,z'
'x+1/4,y+1/4,-z'
'x,-y+1/4,-z+1/4'
'-x,y+1/4,z+1/4'
'-x+1/4,y,-z+1/4'
'x+1/4,-y,z+1/4'
'x,y+1/2,z+1/2'
'-x,-y+1/2,-z+1/2'
'-x+1/4,-y+3/4,z+1/2'
'x+1/4,y+3/4,-z+1/2'
'x,-y+3/4,-z+3/4'
'-x,y+3/4,z+3/4'
'-x+1/4,y+1/2,-z+3/4'
'x+1/4,-y+1/2,z+3/4'
'x+1/2,y,z+1/2'
'-x+1/2,-y,-z+1/2'
'-x+3/4,-y+1/4,z+1/2'
'x+3/4,y+1/4,-z+1/2'
'x+1/2,-y+1/4,-z+3/4'
'-x+1/2,y+1/4,z+3/4'
'-x+3/4,y,-z+3/4'
'x+3/4,-y,z+3/4'
'x+1/2,y+1/2,z'
'-x+1/2,-y+1/2,-z'
'-x+3/4,-y+3/4,z'
'x+3/4,y+3/4,-z'
'x+1/2,-y+3/4,-z+1/4'
'-x+1/2,y+3/4,z+1/4'
'-x+3/4,y+1/2,-z+1/4'
'x+3/4,-y+1/2,z+1/4'
loop_
_atom_site_label
_atom_site_type_symbol
_atom_site_fract_x
_atom_site_fract_y
_atom_site_fract_z
Hf1 Hf 0.1250 0.1250 0.3348
As1 As 0.1250 0.1250 0.6250
H1 H 0.1250 0.2520 0.1250
```


# 3
Computed, not measured: a relaxed Hf4AsH2 crystal at the GGA-PBE level of DFT.

Results
Total magnetization, μB/atom: 0.000
E, eV/atom: -7.77

Cell and atoms, written as CIF:
```
data_Hf4AsH2
_symmetry_space_group_name_H-M 'I -4 2 d'
_symmetry_Int_Tables_number 122
_symmetry_space_group_name_Hall 'I -4 2bw'
_cell_length_a 8.3485
_cell_length_b 8.3485
_cell_length_c 6.3988
_cell_angle_alpha 90.00
_cell_angle_beta 90.00
_cell_angle_gamma 90.00
loop_
_atom_site_label
_atom_site_type_symbol
_atom_site_fract_x
_atom_site_fract_y
_atom_site_fract_z
Hf1 Hf 0.0564 0.6930 0.3957
As1 As 0.0000 0.0000 0.5000
H1 H 0.0573 0.2500 0.1250
```


# 4
Computed, not measured: a relaxed Hf4As2H crystal at the GGA-PBE level of DFT.

Results
E above lowest polymorph, meV per atom: 85
Total magnetization, μB/atom: 0.000
E, eV/atom: -8.03

Cell and atoms, written as CIF:
```
data_Hf4As2H
_symmetry_space_group_name_H-M 'I m m a'
_symmetry_Int_Tables_number 74
_symmetry_space_group_name_Hall '-I 2b 2'
_cell_length_a 7.6348
_cell_length_b 7.6458
_cell_length_c 8.7754
_cell_angle_alpha 90.00
_cell_angle_beta 90.00
_cell_angle_gamma 90.00
loop_
_atom_site_label
_atom_site_type_symbol
_atom_site_fract_x
_atom_site_fract_y
_atom_site_fract_z
Hf1 Hf 0.0000 0.0117 0.1987
Hf2 Hf 0.2385 0.2500 0.5515
As1 As 0.0000 0.0000 0.5000
As2 As 0.2500 0.2500 0.2500
H1 H 0.0000 0.2500 0.8737
```


# 5
Computed, not measured: a relaxed Hf2As2H crystal at the GGA-PBE level of DFT.

Results
E above lowest polymorph, meV per atom: 549
Total magnetization, μB/atom: 0.000
E, eV/atom: -6.68

Cell and atoms, written as CIF:
```
data_Hf2As2H
_symmetry_space_group_name_H-M 'P 4/m b m'
_symmetry_Int_Tables_number 127
_symmetry_space_group_name_Hall '-P 4 2ab'
_cell_length_a 7.2491
_cell_length_b 7.2491
_cell_length_c 3.4662
_cell_angle_alpha 90.00
_cell_angle_beta 90.00
_cell_angle_gamma 90.00
loop_
_atom_site_label
_atom_site_type_symbol
_atom_site_fract_x
_atom_site_fract_y
_atom_site_fract_z
Hf1 Hf 0.1527 0.3473 0.0000
As1 As 0.1465 0.6465 0.5000
H1 H 0.0000 0.0000 0.5000
```


# 6
Computed, not measured: a relaxed Hf4As5H2 crystal at the GGA-PBE level of DFT.

Results
Total magnetization, μB/atom: 0.000
E, eV/atom: -6.92

Cell and atoms, written as CIF:
```
data_Hf4As5H2
_symmetry_space_group_name_H-M 'C 1 2/m 1'
_symmetry_Int_Tables_number 12
_symmetry_space_group_name_Hall '-C 2y'
_cell_length_a 17.1947
_cell_length_b 3.7406
_cell_length_c 8.1521
_cell_angle_alpha 90.00
_cell_angle_beta 99.03
_cell_angle_gamma 90.00
loop_
_atom_site_label
_atom_site_type_symbol
_atom_site_fract_x
_atom_site_fract_y
_atom_site_fract_z
Hf1 Hf 0.0493 0.0000 0.2261
Hf2 Hf 0.1662 0.5000 0.4931
As1 As 0.0000 0.5000 0.0000
As2 As 0.0698 0.0000 0.5952
As3 As 0.2057 0.0000 0.2777
H1 H 0.0714 0.5000 0.3218
```